[1]
# LiGdDySn, relaxed, DFT PBE-GGA
data_LiGdDySn
_chemical_formula_sum 'Li1 Gd1 Dy1 Sn1'
_space_group_name_H-M_alt 'P 1'
_space_group_IT_number 1
_space_group_name_Hall 'P 1'
_cell_length_a 5.247
_cell_length_b 5.247
_cell_length_c 5.247
_cell_angle_alpha 60.00
_cell_angle_beta 60.00
_cell_angle_gamma 60.00
loop_
_atom_site_label
_atom_site_type_symbol
_atom_site_fract_x
_atom_site_fract_y
_atom_site_fract_z
_atom_site_occupancy
Li1 Li 0.000 0.000 0.000 1
Dy1 Dy 0.750 0.750 0.750 1
Gd1 Gd 0.250 0.250 0.250 1
Sn1 Sn 0.500 0.500 0.500 1
# E_tot: -0.48264 Ry/atom
# Density: 7.24 g/cm3

[2]
# LiTbGdDy, relaxed, DFT PBE-GGA
data_LiTbGdDy
_chemical_formula_sum 'Li1 Tb1 Gd1 Dy1'
_space_group_name_H-M_alt 'P 1'
_space_group_IT_number 1
_space_group_name_Hall 'P 1'
_cell_length_a 5.496
_cell_length_b 5.496
_cell_length_c 5.496
_cell_angle_alpha 60.00
_cell_angle_beta 60.00
_cell_angle_gamma 60.00
loop_
_atom_site_label
_atom_site_type_symbol
_atom_site_fract_x
_atom_site_fract_y
_atom_site_fract_z
_atom_site_occupancy
Li1 Li 0.250 0.250 0.250 1
Gd1 Gd 0.750 0.750 0.750 1
Dy1 Dy 0.500 0.500 0.500 1
Tb1 Tb 0.000 0.000 0.000 1
# E_tot: -0.44971 Ry/atom
# Density: 6.87 g/cm3

[3]
# LiGdDyTc, relaxed, DFT PBE-GGA
data_LiGdDyTc
_chemical_formula_sum 'Li1 Gd1 Dy1 Tc1'
_space_group_name_H-M_alt 'P 1'
_space_group_IT_number 1
_space_group_name_Hall 'P 1'
_cell_length_a 4.947
_cell_length_b 4.947
_cell_length_c 4.947
_cell_angle_alpha 60.00
_cell_angle_beta 60.00
_cell_angle_gamma 60.00
loop_
_atom_site_label
_atom_site_type_symbol
_atom_site_fract_x
_atom_site_fract_y
_atom_site_fract_z
_atom_site_occupancy
Gd1 Gd 0.250 0.250 0.250 1
Dy1 Dy 0.750 0.750 0.750 1
Tc1 Tc 0.500 0.500 0.500 1
Li1 Li 0.000 0.000 0.000 1
# E_tot: -0.57040 Ry/atom
# Density: 8.24 g/cm3

[4]
# LiGdDyTl, relaxed, DFT PBE-GGA
data_LiGdDyTl
_chemical_formula_sum 'Li1 Gd1 Dy1 Tl1'
_space_group_name_H-M_alt 'P 1'
_space_group_IT_number 1
_space_group_name_Hall 'P 1'
_cell_length_a 5.302
_cell_length_b 5.302
_cell_length_c 5.302
_cell_angle_alpha 60.00
_cell_angle_beta 60.00
_cell_angle_gamma 60.00
loop_
_atom_site_label
_atom_site_type_symbol
_atom_site_fract_x
_atom_site_fract_y
_atom_site_fract_z
_atom_site_occupancy
Gd1 Gd 0.250 0.250 0.250 1
Tl1 Tl 0.000 0.000 0.000 1
Li1 Li 0.500 0.500 0.500 1
Dy1 Dy 0.750 0.750 0.750 1
# E_tot: -0.43698 Ry/atom
# Density: 8.37 g/cm3

[5]
# LiGdDyTm, relaxed, DFT PBE-GGA
data_LiGdDyTm
_chemical_formula_sum 'Li1 Gd1 Dy1 Tm1'
_space_group_name_H-M_alt 'P 1'
_space_group_IT_number 1
_space_group_name_Hall 'P 1'
_cell_length_a 5.455
_cell_length_b 5.455
_cell_length_c 5.455
_cell_angle_alpha 60.00
_cell_angle_beta 60.00
_cell_angle_gamma 60.00
loop_
_atom_site_label
_atom_site_type_symbol
_atom_site_fract_x
_atom_site_fract_y
_atom_site_fract_z
_atom_site_occupancy
Gd1 Gd 0.250 0.250 0.250 1
Li1 Li 0.000 0.000 0.000 1
Tm1 Tm 0.500 0.500 0.500 1
Dy1 Dy 0.750 0.750 0.750 1
# E_tot: -0.44880 Ry/atom
# Density: 7.17 g/cm3

[6]
# LiGdDyZn, relaxed, DFT PBE-GGA
data_LiGdDyZn
_chemical_formula_sum 'Li1 Gd1 Dy1 Zn1'
_space_group_name_H-M_alt 'P 1'
_space_group_IT_number 1
_space_group_name_Hall 'P 1'
_cell_length_a 5.125
_cell_length_b 5.125
_cell_length_c 5.125
_cell_angle_alpha 60.00
_cell_angle_beta 60.00
_cell_angle_gamma 60.00
loop_
_atom_site_label
_atom_site_type_symbol
_atom_site_fract_x
_atom_site_fract_y
_atom_site_fract_z
_atom_site_occupancy
Li1 Li 0.500 0.500 0.500 1
Gd1 Gd 0.250 0.250 0.250 1
Zn1 Zn 0.000 0.000 0.000 1
Dy1 Dy 0.750 0.750 0.750 1
# E_tot: -0.41102 Ry/atom
# Density: 6.84 g/cm3

[7]
# Gd2DyLu, relaxed, DFT PBE-GGA
data_Gd2DyLu
_chemical_formula_sum 'Gd2 Dy1 Lu1'
_space_group_name_H-M_alt 'P 1'
_space_group_IT_number 1
_space_group_name_Hall 'P 1'
_cell_length_a 3.540
_cell_length_b 3.540
_cell_length_c 11.694
_cell_angle_alpha 81.29
_cell_angle_beta 81.29
_cell_angle_gamma 60.00
loop_
_atom_site_label
_atom_site_type_symbol
_atom_site_fract_x
_atom_site_fract_y
_atom_site_fract_z
_atom_site_occupancy
Lu1 Lu 0.500 0.500 0.500 1
Gd1 Gd 0.751 0.751 0.748 1
Gd2 Gd 0.249 0.249 0.252 1
Dy1 Dy 0.000 0.000 0.000 1
# E_tot: -0.68283 Ry/atom
# Density: 8.66 g/cm3

[8]
# Gd2DyLu, relaxed, DFT PBE-GGA
data_Gd2DyLu
_chemical_formula_sum 'Gd2 Dy1 Lu1'
_space_group_name_H-M_alt 'P 1'
_space_group_IT_number 1
_space_group_name_Hall 'P 1'
_cell_length_a 3.544
_cell_length_b 3.544
_cell_length_c 9.977
_cell_angle_alpha 90.00
_cell_angle_beta 90.00
_cell_angle_gamma 90.00
loop_
_atom_site_label
_atom_site_type_symbol
_atom_site_fract_x
_atom_site_fract_y
_atom_site_fract_z
_atom_site_occupancy
Gd1 Gd 0.000 0.000 0.753 1
Gd2 Gd 0.000 0.000 0.247 1
Lu1 Lu 0.500 0.500 0.000 1
Dy1 Dy 0.500 0.500 0.500 1
# E_tot: -0.68277 Ry/atom
# Density: 8.64 g/cm3

[9]
# Gd4DyLu, relaxed, DFT PBE-GGA
data_Gd4DyLu
_chemical_formula_sum 'Gd4 Dy1 Lu1'
_space_group_name_H-M_alt 'P 1'
_space_group_IT_number 1
_space_group_name_Hall 'P 1'
_cell_length_a 6.539
_cell_length_b 6.539
_cell_length_c 6.539
_cell_angle_alpha 60.00
_cell_angle_beta 60.00
_cell_angle_gamma 60.00
loop_
_atom_site_label
_atom_site_type_symbol
_atom_site_fract_x
_atom_site_fract_y
_atom_site_fract_z
_atom_site_occupancy
Lu1 Lu 0.000 0.000 0.000 1
Gd1 Gd 0.625 0.125 0.625 1
Gd2 Gd 0.625 0.625 0.625 1
Gd3 Gd 0.625 0.625 0.125 1
Gd4 Gd 0.125 0.625 0.625 1
Dy1 Dy 0.250 0.250 0.250 1
# E_tot: -0.78299 Ry/atom
# Density: 8.12 g/cm3

[10]
# Gd2DyLu, relaxed, DFT PBE-GGA
data_Gd2DyLu
_chemical_formula_sum 'Gd2 Dy1 Lu1'
_space_group_name_H-M_alt 'P 1'
_space_group_IT_number 1
_space_group_name_Hall 'P 1'
_cell_length_a 5.637
_cell_length_b 5.637
_cell_length_c 5.637
_cell_angle_alpha 60.00
_cell_angle_beta 60.00
_cell_angle_gamma 60.00
loop_
_atom_site_label
_atom_site_type_symbol
_atom_site_fract_x
_atom_site_fract_y
_atom_site_fract_z
_atom_site_occupancy
Gd1 Gd 0.750 0.750 0.750 1
Gd2 Gd 0.250 0.250 0.250 1
Lu1 Lu 0.500 0.500 0.500 1
Dy1 Dy 0.000 0.000 0.000 1
# E_tot: -0.67771 Ry/atom
# Density: 8.55 g/cm3

[11]
# GdDy2Lu, relaxed, DFT PBE-GGA
data_GdDy2Lu
_chemical_formula_sum 'Gd1 Dy2 Lu1'
_space_group_name_H-M_alt 'P 1'
_space_group_IT_number 1
_space_group_name_Hall 'P 1'
_cell_length_a 5.000
_cell_length_b 4.983
_cell_length_c 4.983
_cell_angle_alpha 90.00
_cell_angle_beta 90.00
_cell_angle_gamma 90.00
loop_
_atom_site_label
_atom_site_type_symbol
_atom_site_fract_x
_atom_site_fract_y
_atom_site_fract_z
_atom_site_occupancy
Lu1 Lu 0.500 0.500 0.500 1
Dy1 Dy 0.000 0.500 0.000 1
Dy2 Dy 0.000 0.000 0.500 1
Gd1 Gd 0.500 0.000 0.000 1
# E_tot: -0.50924 Ry/atom
# Density: 8.79 g/cm3

[12]
# GdDy2Lu, relaxed, DFT PBE-GGA
data_GdDy2Lu
_chemical_formula_sum 'Gd1 Dy2 Lu1'
_space_group_name_H-M_alt 'P 1'
_space_group_IT_number 1
_space_group_name_Hall 'P 1'
_cell_length_a 3.526
_cell_length_b 3.526
_cell_length_c 10.007
_cell_angle_alpha 90.00
_cell_angle_beta 90.00
_cell_angle_gamma 90.00
loop_
_atom_site_label
_atom_site_type_symbol
_atom_site_fract_x
_atom_site_fract_y
_atom_site_fract_z
_atom_site_occupancy
Gd1 Gd 0.500 0.500 0.500 1
Dy1 Dy 0.000 0.000 0.245 1
Dy2 Dy 0.000 0.000 0.755 1
Lu1 Lu 0.500 0.500 0.000 1
# E_tot: -0.50895 Ry/atom
# Density: 8.77 g/cm3